Be2ZnSnO6 after structural relaxation, computed with PBE-GGA.

Unit cell a=5.5140 b=6.6063 c=6.6063 alpha=91.80 beta=70.85 gamma=70.85
Closest atoms and distances in Å follow each position.
Sites, in units of the cell vectors:
Be 0.6644 0.2553 0.4179  4 O 1.60-1.74
Be 0.3356 0.7447 0.5821  4 O 1.60-1.74
Be 0.1644 0.4179 0.2553  4 O 1.60-1.74
Be 0.8356 0.5821 0.7447  4 O 1.60-1.74
O 0.1387 0.6295 0.1415  1 Be 1.60
O 0.8613 0.3705 0.8585  1 Be 1.60
O 0.1701 0.5723 0.6130  1 O 1.50, 1 Be 1.66
O 0.8299 0.4277 0.3870  1 O 1.50, 1 Be 1.66
O 0.6701 0.6130 0.5723  1 O 1.50, 1 Be 1.66
O 0.3299 0.3870 0.4277  1 O 1.50, 1 Be 1.66
O 0.3198 0.1991 0.0768  1 Be 1.62
O 0.1802 0.9232 0.8009  1 Be 1.62
O 0.8198 0.0768 0.1991  1 Be 1.62
O 0.6802 0.8009 0.9232  1 Be 1.62
O 0.3613 0.8585 0.3705  1 Be 1.60
O 0.6387 0.1415 0.6295  1 Be 1.60
Sn 0.7500 0.1050 0.8950  6 O 2.04-2.17
Sn 0.2500 0.8950 0.1050  6 O 2.04-2.17
Zn 0.7500 0.7708 0.2292  2 O 1.91
Zn 0.2500 0.2292 0.7708  2 O 1.91

Values from the calculation:
uncorrected energy = -119.3 eV for the cell shown